Record 1
{
  "formula": "MnBi2H2",
  "functional": "PBE",
  "state": "relaxed",
  "dos_at_fermi_per_ev_cell": 6.16,
  "total_magnetization_mub_per_fu": 0.02,
  "polymorph_energy_ev_per_atom": 0.000,
  "crystal_system": "tetragonal",
  "lattice": [[-3.098, 3.643, 0.730], [-3.490, -2.527, -2.197], [-4.173, -0.778, 2.198]],
  "species": ["Bi", "Bi", "H", "H", "Mn"],
  "frac_coords": [[0.750, 0.250, 0.500], [0.250, 0.750, 0.500], [0.558, 0.558, 0.884], [0.442, 0.442, 0.116], [0.000, 0.000, 0.000]]
}

***

Record 2
{
  "formula": "MnBi2H2",
  "functional": "PBE",
  "state": "relaxed",
  "dos_at_fermi_per_ev_cell": 11.80,
  "total_magnetization_mub_per_fu": 0.00,
  "polymorph_energy_ev_per_atom": 0.375,
  "crystal_system": "tetragonal",
  "lattice": [[6.597, 0.000, 0.000], [0.000, 6.597, 0.000], [0.000, 0.000, 3.465]],
  "species": ["Bi", "H", "Bi", "H", "Bi", "Bi", "H", "Mn", "H", "Mn"],
  "frac_coords": [[0.669, 0.831, 0.500], [0.680, 0.180, 0.000], [0.169, 0.669, 0.500], [0.820, 0.680, 0.000], [0.331, 0.169, 0.500], [0.831, 0.331, 0.500], [0.320, 0.820, 0.000], [0.500, 0.500, 0.000], [0.180, 0.320, 0.000], [0.000, 0.000, 0.000]]
}

***

Record 3
{
  "formula": "MnBi3H",
  "functional": "PBE",
  "state": "relaxed",
  "dos_at_fermi_per_ev_cell": 2.56,
  "total_magnetization_mub_per_fu": 4.23,
  "polymorph_energy_ev_per_atom": 0.000,
  "crystal_system": "cubic",
  "lattice": [[4.894, 0.000, 0.000], [0.000, 4.894, 0.000], [0.000, 0.000, 4.894]],
  "species": ["H", "Mn", "Bi", "Bi", "Bi"],
  "frac_coords": [[0.000, 0.000, 0.000], [0.500, 0.500, 0.500], [0.000, 0.000, 0.500], [0.500, 0.000, 0.000], [0.000, 0.500, 0.000]]
}

***

Record 4
{
  "formula": "Mn3BiH",
  "functional": "PBE",
  "state": "relaxed",
  "dos_at_fermi_per_ev_cell": 9.77,
  "total_magnetization_mub_per_fu": 13.00,
  "polymorph_energy_ev_per_atom": 1.374,
  "crystal_system": "cubic",
  "lattice": [[5.267, 0.000, 0.000], [0.000, 5.267, 0.000], [0.000, 0.000, 5.267]],
  "species": ["Mn", "Mn", "Mn", "H", "Bi"],
  "frac_coords": [[0.500, 0.000, 0.000], [0.000, 0.500, 0.000], [0.000, 0.000, 0.500], [0.500, 0.500, 0.500], [0.000, 0.000, 0.000]]
}

***

> Number 3 is which compound?

MnBi3H